# 1
5
Lattice="-1.808 0.997 4.053 -2.756 -3.602 -0.343 2.265 -1.873 1.471" Properties=species:S:1:pos:R:3 comment="Hf2MnHRu | Alexandria via LeMat-Bulk | PBE-GGA | relaxed" dft_energy_ev_per_cell=-44.0 pbc="T T T"
Ru -1.149 -2.239 2.590
Mn 1.133 -0.936 0.736
Hf -1.378 -1.801 -0.172
Hf -0.904 0.499 2.026
H 0.000 0.000 0.000

---

# 2
5
Lattice="3.755 0.000 0.000 0.000 3.755 0.000 0.000 0.000 4.340" Properties=species:S:1:pos:R:3 comment="HfMn2HRu | Alexandria via LeMat-Bulk | PBE-GGA | relaxed" polymorph_energy_kj_per_mol_fu=0 pbc="T T T"
Ru 1.877 1.877 2.170
Mn 0.000 1.877 0.000
Mn 1.877 0.000 0.000
Hf 0.000 0.000 2.170
H 0.000 0.000 0.000

---

# 3
5
Lattice="-1.681 1.188 3.217 1.647 -2.863 1.917 3.274 2.428 0.814" Properties=species:S:1:pos:R:3 comment="HfMn2HRu | Alexandria via LeMat-Bulk | PBE-GGA | relaxed" polymorph_energy_kj_per_mol_fu=7 pbc="T T T"
Ru 1.637 1.214 0.407
Mn 0.823 -1.431 0.959
Mn -0.840 0.594 1.608
Hf 1.620 0.377 2.974
H 0.000 0.000 0.000

---

Calculated volume values, unit A^3/atom, following the record order: 13.6, 12.2, 12.1.
Fermi-level density of states values, unit states/eV/cell, following the record order: 2.26, 4.26, 4.43.